The following is a DFT calculation (PBE with a Hubbard U) of a relaxed HfNiN2O crystal.

**VASP energy**: -6.936 eV per atom
**SG**: P4/mmm (123)

Cell lengths 3.687, 3.687, 3.598 Å; angles 90.00, 90.00, 90.00 degrees
Fractional positions:
Hf  0.000  0.000  0.000
Ni  0.500  0.500  0.500
N  0.000  0.500  0.500
N  0.500  0.000  0.500
O  0.500  0.500  0.000